Crystalline Re4Os at its relaxed geometry, computed with PBE.

Lattice parameters (Å, degrees): 4.7800 4.7800 4.7800 99.62 99.62 131.75
Fractional coordinates of all 5 atoms:
Re 0.2013 0.6028 0.8040
Re 0.7987 0.3972 0.1960
Re 0.3972 0.2013 0.5985
Re 0.6028 0.7987 0.4015
Os 0.0000 0.0000 0.0000

Calculated values
Crystal system   tetragonal
Formation energy from the elements   1.31 kcal/mol of atoms
Space-group type   No. 87

---

Crystalline BaInAsBr2 at its relaxed geometry, computed with PBE.

Lattice parameters (Å, degrees): 5.6141 5.6141 5.3332 90.00 90.00 90.00
Each line ends with the local moment (μB).
Fractional coordinates of all 5 atoms:
As 0.0000 0.0000 0.5000  0.06
Ba 0.5000 0.5000 0.5000  0.00
Br 0.0000 0.5000 0.0000  0.01
Br 0.5000 0.0000 0.0000  0.01
In 0.0000 0.0000 0.0000  0.00

Calculated values
Crystal system   tetragonal
Space-group type   No. 123

---

Table of energy relative to the lowest polymorph listed for this composition (meV/atom), in record order: 0; 0
Table of total moment (μB/atom), in record order: 0.00; 0.03
Table of V (Å³/f.u.), in record order: 74; 168